A plane-wave DFT calculation with PBE was carried out for a geometry-optimized Nd5Ag4Os structure.

* M_tot: 0.00 Bohr magnetons per cell
* total energy: -4.8411 eV/atom

a = 3.614 Å, b = 3.614 Å, c = 19.474 Å
α = 90.00°, β = 90.00°, γ = 90.00°
Space group P4/mmm (No. 123)
Symmetry-distinct sites (fractional):
Nd1 0.000 0.000 0.000 (multiplicity 1)
Nd2 0.000 0.000 0.203 (multiplicity 2)
Nd3 0.000 0.000 0.412 (multiplicity 2)
Ag1 0.500 0.500 0.102 (multiplicity 2)
Ag2 0.500 0.500 0.304 (multiplicity 2)
Os1 0.500 0.500 0.500 (multiplicity 1)